! TiIn2CI (GGA-PBE, optimized geometry); values from VASP
&SYSTEM
  ibrav = 0, nat = 5, ntyp = 4
/
ATOMIC_SPECIES
I 126.90 I.upf
Ti 47.87 Ti.upf
In 114.82 In.upf
C 12.01 C.upf
CELL_PARAMETERS angstrom
4.777 0.000 0.000
0.000 5.030 0.000
0.000 0.000 4.777
ATOMIC_POSITIONS crystal
I 0.000 0.500 0.000
Ti 0.500 0.500 0.500
In 0.500 0.000 0.000
In 0.000 0.000 0.500
C 0.000 0.000 0.000
! * DOS(E_F): 0.91 states/eV per atom
! * ΔE_f (raw): 1.159 eV/atom
! * V: 115 Å³/cell
! * theoretical density: 6.0 g/cm³